Entry 1:
# Tb2Sm2Dy | the Alexandria database | PBE | optimized geometry
# formation energy from the elements = 268 meV/atom
# spin magnetization = 0.00 μB/cell
# crystal system = monoclinic
# polymorph energy (0 for the lowest one) = 178 meV per atom
# uncorrected energy = -4.393 eV/atom
data_Tb2Sm2Dy
_cell_length_a 8.6145
_cell_length_b 13.1372
_cell_length_c 6.3614
_cell_angle_alpha 90.00
_cell_angle_beta 108.54
_cell_angle_gamma 90.00
_space_group_name_H-M_alt 'C 1 2/c 1'
_space_group_IT_number 15
loop_
_space_group_symop_operation_xyz
'x,y,z'
'-x,-y,-z'
'-x,y,-z+1/2'
'x,-y,z+1/2'
'x+1/2,y+1/2,z'
'-x+1/2,-y+1/2,-z'
'-x+1/2,y+1/2,-z+1/2'
'x+1/2,-y+1/2,z+1/2'
loop_
_atom_site_label
_atom_site_fract_x
_atom_site_fract_y
_atom_site_fract_z
_atom_site_occupancy
Tb1 0.0000 0.1819 0.2500 1
Tb2 0.0000 0.3038 0.7500 1
Sm1 0.1758 0.0614 0.9157 1
Dy1 0.0000 0.4349 0.2500 1

---

Entry 2:
# GaRuF2 | the Alexandria database | PBE | optimized geometry
# spin magnetization = 0.00 μB/cell
# E_form (uncorrected) = -0.663 eV per atom
# crystal system = tetragonal
# polymorph energy (0 for the lowest one) = 309 meV per atom
# uncorrected energy = -4.674 eV/atom
data_GaRuF2
_cell_length_a 7.1358
_cell_length_b 7.1358
_cell_length_c 4.9015
_cell_angle_alpha 90.00
_cell_angle_beta 90.00
_cell_angle_gamma 90.00
_space_group_name_H-M_alt 'I -4 2 d'
_space_group_IT_number 122
_space_group_name_Hall 'I -4 2bw'
loop_
_atom_site_label
_atom_site_fract_x
_atom_site_fract_y
_atom_site_fract_z
_atom_site_occupancy
Ga1 0.0000 0.0000 0.0000 1
Ru1 0.0000 0.0000 0.5000 1
F1 0.1433 0.7500 0.6250 1